1.
{"formula": "BaY2Br", "functional": "PBE-GGA", "state": "optimized geometry", "lattice_angstrom": [[4.649, 2.292, 2.580], [-0.216, 1.443, 5.603], [2.963, -3.087, 3.900]], "species": ["Br", "Y", "Y", "Ba"], "fractional_positions": [[0.000, 0.000, 0.000], [0.250, 0.250, 0.250], [0.750, 0.750, 0.750], [0.500, 0.500, 0.500]], "density_g_cm3": 4.8, "magnetic_moment_mub_per_atom": 0.0000, "de_polymorph_ev_per_atom": 0.787, "formation_energy_uncorrected_mev_per_atom": 241.3}

2.
{"formula": "BaY2Br", "functional": "PBE-GGA", "state": "optimized geometry", "lattice_angstrom": [[-4.299, 0.832, 3.050], [0.397, -3.601, 1.542], [4.135, 0.726, 5.629]], "species": ["Br", "Ba", "Y", "Y"], "fractional_positions": [[0.500, 0.934, 0.758], [0.000, 0.530, 0.563], [0.000, 0.793, 0.039], [0.500, 0.243, 0.140]], "density_g_cm3": 4.6, "magnetic_moment_mub_per_atom": 0.0001, "de_polymorph_ev_per_atom": 0.227, "formation_energy_uncorrected_mev_per_atom": -319.1}

3.
{"formula": "Ba2YBr", "functional": "PBE-GGA", "state": "optimized geometry", "lattice_angstrom": [[-2.709, 1.503, -2.564], [-1.833, -2.474, 2.586], [-1.793, 8.552, 6.909]], "species": ["Ba", "Ba", "Br", "Y"], "fractional_positions": [[0.000, 0.000, 0.475], [0.000, 0.000, 0.025], [0.500, 0.500, 0.250], [0.500, 0.500, 0.750]], "density_g_cm3": 4.3, "magnetic_moment_mub_per_atom": 0.0000, "de_polymorph_ev_per_atom": 0.027, "formation_energy_uncorrected_mev_per_atom": -565.2}

4.
{"formula": "BaYBr", "functional": "PBE-GGA", "state": "optimized geometry", "lattice_angstrom": [[-1.256, -0.439, 8.519], [2.523, -0.823, 7.825], [-1.019, 3.504, 1.262]], "species": ["Ba", "Y", "Br"], "fractional_positions": [[0.994, 0.994, 0.006], [0.685, 0.685, 0.315], [0.321, 0.321, 0.679]], "density_g_cm3": 4.7, "magnetic_moment_mub_per_atom": 0.0000, "de_polymorph_ev_per_atom": 0.063, "formation_energy_uncorrected_mev_per_atom": -651.4}

5.
{"formula": "BaY2Br", "functional": "PBE-GGA", "state": "optimized geometry", "lattice_angstrom": [[-2.653, -2.586, -0.291], [3.053, -0.445, -2.072], [4.798, -5.857, 8.326]], "species": ["Y", "Ba", "Br", "Y"], "fractional_positions": [[0.000, 0.000, 0.962], [0.500, 0.500, 0.250], [0.500, 0.500, 0.750], [0.000, 0.000, 0.538]], "density_g_cm3": 4.8, "magnetic_moment_mub_per_atom": 0.0000, "de_polymorph_ev_per_atom": 0.270, "formation_energy_uncorrected_mev_per_atom": -275.7}

6.
{"formula": "BaYBr", "functional": "PBE-GGA", "state": "optimized geometry", "lattice_angstrom": [[3.982, 0.000, 0.000], [-1.991, 3.449, 0.000], [0.000, 0.000, 7.913]], "species": ["Br", "Ba", "Y"], "fractional_positions": [[0.333, 0.667, 0.360], [0.000, 0.000, 0.015], [0.667, 0.333, 0.624]], "density_g_cm3": 4.7, "magnetic_moment_mub_per_atom": 0.3980, "de_polymorph_ev_per_atom": 0.000, "formation_energy_uncorrected_mev_per_atom": -714.6}